A plane-wave DFT calculation with PBE was carried out for crystalline YSbRhAu at its relaxed geometry. Values from VASP.

## Properties
- Uncorrected formation energy: -574 meV per atom
- Uncorrected energy: -5.8775 eV/atom
- M_tot: 0.00 Bohr magnetons per cell
- SG: No. 216
- Density of states at the Fermi level: 2.97 states/eV per cell

Cell and atoms, written as Quantum ESPRESSO input:
```
&SYSTEM
  ibrav = 0, nat = 4, ntyp = 4
/
ATOMIC_SPECIES
Y 88.91 Y.upf
Sb 121.76 Sb.upf
Au 196.97 Au.upf
Rh 102.91 Rh.upf
CELL_PARAMETERS angstrom
-4.133 -0.904 -2.427
0.176 -1.612 -4.599
-1.272 -4.595 -1.024
ATOMIC_POSITIONS angstrom
Y -3.921 -5.333 -6.037
Sb -1.307 -1.778 -2.012
Au -2.614 -3.555 -4.025
Rh 0.000 0.000 0.000
```